First-principles (PBE) data for a geometry-optimized Pr6AsRu2I3 structure, as listed in the Alexandria database.

Structure (POSCAR):
```
Pr6AsRu2I3
1.0
7.422 0.002 -0.004
-3.708 6.430 -0.004
-1.243 -2.153 8.053
Pr As Ru I
6 1 2 3
direct
0.061 0.412 0.189
0.588 0.939 0.811
0.939 0.588 0.811
0.288 0.288 0.812
0.712 0.712 0.188
0.412 0.061 0.189
0.000 0.000 0.000
0.333 0.667 0.000
0.667 0.333 0.000
0.500 0.500 0.500
0.163 0.837 0.500
0.837 0.163 0.500
```


First-principles (PBE) data for a geometry-optimized Pr4AsRuI2 structure, as listed in the Alexandria database.

Structure (POSCAR):
```
Pr4AsRuI2
1.0
-0.047 3.853 1.725
-7.425 -0.903 1.818
4.287 -2.850 6.481
Pr As Ru I
4 1 1 2
direct
0.500 0.251 0.186
0.000 0.717 0.189
0.500 0.749 0.814
0.000 0.283 0.811
0.000 0.000 0.000
0.500 0.500 0.000
0.000 0.500 0.500
0.500 0.000 0.500
```


First-principles (PBE) data for a geometry-optimized Pr8AsS3I4 structure, as listed in the Alexandria database.

Structure (POSCAR):
```
Pr8AsS3I4
1.0
-5.799 -1.684 5.778
-0.813 -8.594 -3.321
7.645 2.437 2.338
Pr I S As
8 4 3 1
direct
0.763 0.308 0.044
0.237 0.692 0.956
0.763 0.308 0.526
0.281 0.308 0.044
0.719 0.692 0.956
0.729 0.687 0.458
0.237 0.692 0.474
0.271 0.313 0.542
0.000 0.000 0.500
0.500 0.000 0.500
0.500 0.000 0.000
0.000 0.000 0.000
0.500 0.500 0.000
0.500 0.500 0.500
0.000 0.500 0.500
0.000 0.500 0.000
```


Short version: total magnetic moment = 0.0; 0.0; 0.0 μB per formula unit, in the order given.
Short version: ΔE_f (raw) = -0.8510; -0.9604; -1.4357 eV per atom, in the order given.
Short version: Fermi-level density of states = 11.221; 5.159; 7.405 states/eV/cell, in the order given.